(1)
12
Lattice="-2.6343 -1.0638 4.4025 -5.9964 -2.3369 -7.2730 7.4804 -6.1919 -0.1403" Properties=species:S:1:pos:R:3 comment="La6Tb5Nd (PBE-GGA, optimized geometry)" formation_enthalpy_0k_ev_per_fu=0.24 sg="Immm (71)" pbc="T T T"
Nd 0.0000 0.0000 0.0000
Tb 3.9089 -6.0789 0.8678
Tb 2.9902 -4.9075 -2.5168
Tb -0.5752 -4.7963 -1.5054
Tb -4.1406 -4.6850 -0.4941
Tb -5.0593 -3.5136 -3.8786
La 1.9637 -3.0502 0.4354
La 1.3893 -7.8305 -1.0628
La -1.6075 -2.9483 1.4439
La 0.4571 -6.6443 -4.4547
La -2.5396 -1.7620 -1.9481
La -3.1141 -6.5423 -3.4462

---

(2)
5
Lattice="4.3113 0.0000 0.0000 0.0000 4.3113 0.0000 0.0000 0.0000 3.9473" Properties=species:S:1:pos:R:3 comment="CdPd2RhN (PBE-GGA, optimized geometry)" energy_ev_per_atom=-5.3810 sg="P4/mmm (123)" pbc="T T T"
N 0.0000 0.0000 0.0000
Rh 0.0000 0.0000 1.9736
Pd 0.0000 2.1557 0.0000
Pd 2.1557 0.0000 0.0000
Cd 2.1557 2.1557 1.9736

---

(3)
4
Lattice="1.9252 0.0000 9.3494 -0.9626 1.6673 9.3494 -0.9626 -1.6673 9.3494" Properties=species:S:1:pos:R:3 comment="HfTe2Os (PBE-GGA, optimized geometry)" relative_energy_ev_per_fu=0.74 sg="R-3m (166)" pbc="T T T"
Hf 0.0000 0.0000 14.0241
Te 0.0000 0.0000 25.5141
Te 0.0000 0.0000 2.5342
Os 0.0000 0.0000 0.0000

---

(4)
4
Lattice="-6.4194 -4.8681 5.2256 -7.1517 -5.8561 2.6026 -4.9980 -7.1151 4.0753" Properties=species:S:1:pos:R:3 comment="YRe2Tc (PBE-GGA, optimized geometry)" relative_energy_ev_per_fu=1.00 formation_enthalpy_0k_ev_per_fu=1.80 sg="R3m (160)" pbc="T T T"
Re -18.4058 -17.6825 11.7989
Re -4.6353 -4.4532 2.9714
Tc -9.4464 -9.0752 6.0556
Y -13.9350 -13.3874 8.9330

---

(5)
9
Lattice="4.2797 0.0000 0.0000 0.0000 3.8414 -2.2179 0.0000 0.0000 4.4357" Properties=species:S:1:pos:R:3 comment="PrCo2H6 (PBE-GGA, optimized geometry)" energy_ev_per_atom=-4.6756 sg="P6/mmm (191)" pbc="T T T"
Pr 0.0000 0.0000 0.0000
Co 2.1399 1.2805 2.2179
Co 2.1399 2.5610 0.0000
H 3.1720 0.0000 2.2181
H 3.1720 1.9209 -1.1091
H 1.1077 0.0000 2.2176
H 1.1077 1.9209 1.1091
H 1.1077 1.9205 -1.1088
H 3.1720 1.9205 1.1088

---

(6)
13
Lattice="-1.2153 3.8503 -6.9190 4.9511 -6.2726 0.5623 -7.8339 -4.0364 1.6719" Properties=species:S:1:pos:R:3 comment="KTe4S8 (PBE-GGA, optimized geometry)" energy_ev_per_atom=-3.6800 sg="C2/m (12)" pbc="T T T"
K -1.4414 -5.1545 1.1171
Te 0.9223 -0.5980 -1.5693
Te 2.8135 -1.8243 -4.7874
Te -4.3167 -7.8029 0.4365
Te 0.2186 1.3441 -5.1213
S -2.1690 1.7680 -4.5127
S 0.7600 -3.1935 -0.5097
S 0.2414 -1.2687 -4.1123
S -1.5999 -0.0960 -0.9036
S -2.4982 -6.3627 -3.7812
S -4.3395 -5.1900 -0.5726
S -4.8581 -3.2652 -4.1751
S -1.9291 -8.2267 -0.1722

---

(7)
8
Lattice="6.1847 -0.1890 -2.1950 -3.5358 5.3885 -1.2507 -0.5197 0.1840 6.5422" Properties=species:S:1:pos:R:3 comment="Ce5PuTl2 (PBE-GGA, optimized geometry)" relative_energy_ev_per_fu=0.00 formation_enthalpy_0k_ev_per_fu=-0.91 sg="Imm2 (44)" pbc="T T T"
Ce 0.7056 1.4848 2.4672
Ce -1.7362 4.3141 4.7479
Ce 3.1046 1.4811 4.3059
Ce 2.0517 4.1266 0.7112
Ce 0.5445 1.7070 -0.7074
Pu 1.8619 4.3168 -2.4214
Tl -1.1316 4.0124 1.4797
Tl 3.7074 1.2508 1.0346

---

(8)
5
Lattice="6.3281 0.0000 0.0000 0.0000 5.2275 0.0000 0.0000 0.0000 6.3281" Properties=species:S:1:pos:R:3 comment="KSr2LiTl (PBE-GGA, optimized geometry)" relative_energy_ev_per_fu=0.27 formation_enthalpy_0k_ev_per_fu=0.23 sg="P4/mmm (123)" pbc="T T T"
Sr 0.0000 0.0000 3.1641
Sr 3.1641 0.0000 0.0000
Tl 0.0000 2.6138 0.0000
K 3.1641 2.6138 3.1641
Li 0.0000 0.0000 0.0000